# Ti2WCF PBE+U optimized geometry
# E: -31.42 eV/cell
# total moment: 0.02 μB per cell
# calculated volume: 67 Å³/cell
# theoretical density: 7.7 g cm⁻³
# crystal system: tetragonal
data_Ti2WCF
_chemical_formula_sum 'Ti2 W1 C1 F1'
_symmetry_space_group_name_H-M 'P 4/m m m'
_symmetry_Int_Tables_number 123
_symmetry_space_group_name_Hall '-P 4 2'
_cell_length_a 3.8025
_cell_length_b 3.8025
_cell_length_c 4.6429
_cell_angle_alpha 90.00
_cell_angle_beta 90.00
_cell_angle_gamma 90.00
loop_
_atom_site_label
_atom_site_fract_x
_atom_site_fract_y
_atom_site_fract_z
_atom_site_occupancy
Ti1 0.0000 0.5000 0.0000 1
W1 0.0000 0.0000 0.5000 1
C1 0.5000 0.5000 0.5000 1
F1 0.5000 0.5000 0.0000 1